(1)
A relaxed structure of Pr2ZnCu, computed with PBE-GGA.

## Properties
- E_tot: -15.77 eV for the cell shown
- Space-group type: P4/mmm, No. 123
- ΔE_f: -81 kJ/mol of formula units

abc: 3.682 3.682 7.297
angles: 90.00 90.00 90.00
Positions (direct):
Pr 0.000 0.000 0.244
Pr 0.000 0.000 0.756
Zn 0.500 0.500 0.500
Cu 0.500 0.500 0.000

***

(2)
A relaxed structure of TlCu2Ag2Cl7, computed with PBE-GGA.

## Properties
- Uncorrected formation energy: -0.515 eV/atom
- E_tot: -35.36 eV for the cell shown
- Space-group type: R32, No. 155

abc: 10.915 10.915 10.915
angles: 37.49 37.49 37.49
Positions (direct):
Tl 0.000 0.000 0.000
Cu 0.426 0.426 0.426
Cu 0.574 0.574 0.574
Ag 0.258 0.258 0.258
Ag 0.742 0.742 0.742
Cl 0.100 0.394 0.720
Cl 0.280 0.606 0.900
Cl 0.394 0.720 0.100
Cl 0.500 0.500 0.500
Cl 0.606 0.900 0.280
Cl 0.720 0.100 0.394
Cl 0.900 0.280 0.606

***

(3)
A relaxed structure of Hf5Al4H, computed with PBE-GGA.

## Properties
- E_tot: -70.44 eV for the cell shown
- Space-group type: I4/mmm, No. 139

abc: 6.730 6.730 6.730
angles: 96.10 96.10 141.95
Positions (direct):
Hf 0.000 0.000 0.000
Hf 0.328 0.328 0.655
Hf 0.328 0.672 0.000
Hf 0.672 0.328 0.000
Hf 0.672 0.672 0.345
Al 0.000 0.328 0.328
Al 0.000 0.672 0.672
Al 0.328 0.000 0.328
Al 0.672 0.000 0.672
H 0.500 0.500 0.000